GGA+U Sr3Li2FeO6, relaxed; energy = -5.66 eV per atom; space-group type = P-3m1 (164)
1.0
5.669 0.000 0.000
-2.834 4.909 0.000
0.000 0.000 6.190
O Sr Li Fe
6 3 2 1
direct
0.678 0.839 0.314
0.839 0.678 0.686
0.161 0.322 0.314
0.839 0.161 0.686
0.161 0.839 0.314
0.322 0.161 0.686
0.000 0.000 0.000
0.333 0.667 0.627
0.667 0.333 0.373
0.333 0.667 0.206
0.667 0.333 0.794
0.000 0.000 0.500